# PBE BaNdTlIn, optimized geometry
# * calculated formation energy: -1.2 eV per formula unit
# * uncorrected energy: -3.2598 eV/atom
# * total magnetic moment: 0.0 μB/f.u.
data_BaNdTlIn
_chemical_formula_sum 'Ba4 Nd4 Tl4 In4'
_space_group_name_H-M_alt 'F -4 3 m'
_space_group_IT_number 216
_space_group_name_Hall 'F -4 2 3'
_cell_length_a 8.177
_cell_length_b 8.177
_cell_length_c 8.177
_cell_angle_alpha 90.00
_cell_angle_beta 90.00
_cell_angle_gamma 90.00
loop_
_atom_site_label
_atom_site_fract_x
_atom_site_fract_y
_atom_site_fract_z
Ba1 0.000 0.000 0.000
Nd1 0.000 0.000 0.500
Tl1 0.250 0.250 0.250
In1 0.250 0.250 0.750